A geometry-optimized V2HIr structure, computed with PBE-GGA.

The density comes out at 10.68 g cm⁻³. The calculation puts the calculated total energy at -29.999 eV/f.u. Its excess energy over the best structure of this formula in the dataset is 16.1 kJ/mol of atoms.

The space group is I4_1/amd (No. 141, origin choice 2) and the conventional cell measures 5.0702, 5.0702 and 7.1424 Å, with angles of 90.00, 90.00 and 90.00 degrees. The inequivalent atoms are V at (0.0000, 0.0000, 0.0000), H at (0.0000, 0.2500, 0.8750) and Ir at (0.0000, 0.2500, 0.3750).